Record 1
Density functional theory data (PBE-GGA) for crystalline CsCu2Ag at its relaxed geometry. Values from VASP.

Cell and atoms, written as Quantum ESPRESSO input:
```
&SYSTEM
  ibrav = 0, nat = 16, ntyp = 3
/
ATOMIC_SPECIES
Cs 132.91 Cs.upf
Cu 63.55 Cu.upf
Ag 107.87 Ag.upf
CELL_PARAMETERS angstrom
7.4362 0.0000 0.0000
0.0000 7.4362 0.0000
0.0000 0.0000 7.4362
ATOMIC_POSITIONS crystal
Cs 0.0000 0.0000 0.0000
Cs 0.0000 0.5000 0.5000
Cs 0.5000 0.0000 0.5000
Cs 0.5000 0.5000 0.0000
Cu 0.2500 0.2500 0.2500
Cu 0.2500 0.2500 0.7500
Cu 0.2500 0.7500 0.2500
Cu 0.2500 0.7500 0.7500
Cu 0.7500 0.2500 0.2500
Cu 0.7500 0.2500 0.7500
Cu 0.7500 0.7500 0.2500
Cu 0.7500 0.7500 0.7500
Ag 0.0000 0.0000 0.5000
Ag 0.0000 0.5000 0.0000
Ag 0.5000 0.0000 0.0000
Ag 0.5000 0.5000 0.5000
```

## Properties
Mass density, g/cm³: 5.9
Magnetization, μB/f.u.: 0.00
DFT formation energy, kJ per mole of atoms: 85.4

=====

Record 2
Density functional theory data (PBE-GGA) for crystalline CePa2Nb at its relaxed geometry. Values from VASP.

Cell and atoms, written as Quantum ESPRESSO input:
```
&SYSTEM
  ibrav = 0, nat = 4, ntyp = 3
/
ATOMIC_SPECIES
Ce 140.12 Ce.upf
Pa 231.04 Pa.upf
Nb 92.91 Nb.upf
CELL_PARAMETERS angstrom
4.6743 0.0000 0.0000
0.0000 4.6743 0.0000
0.0000 0.0000 4.3853
ATOMIC_POSITIONS crystal
Ce 0.0000 0.0000 0.0000
Pa 0.0000 0.5000 0.5000
Pa 0.5000 0.0000 0.5000
Nb 0.5000 0.5000 0.0000
```

## Properties
Mass density, g/cm³: 12.0
Magnetization, μB/f.u.: 0.00
DFT formation energy, kJ per mole of atoms: 24.1

=====

Record 3
Density functional theory data (PBE-GGA) for crystalline Y2ZrBr at its relaxed geometry. Values from VASP.

Cell and atoms, written as Quantum ESPRESSO input:
```
&SYSTEM
  ibrav = 0, nat = 8, ntyp = 3
/
ATOMIC_SPECIES
Y 88.91 Y.upf
Zr 91.22 Zr.upf
Br 79.90 Br.upf
CELL_PARAMETERS angstrom
4.4971 0.0000 0.0000
0.0000 4.4971 0.0000
0.0000 0.0000 10.7825
ATOMIC_POSITIONS crystal
Y 0.0000 0.0000 0.0000
Y 0.0000 0.5000 0.2500
Y 0.5000 0.0000 0.7500
Y 0.5000 0.5000 0.5000
Zr 0.0000 0.5000 0.7500
Zr 0.5000 0.0000 0.2500
Br 0.0000 0.0000 0.5000
Br 0.5000 0.5000 0.0000
```

## Properties
Mass density, g/cm³: 5.3
Magnetization, μB/f.u.: 0.00
Formation energy (no corrections), eV per formula unit: 0.32

=====

Record 4
Density functional theory data (PBE-GGA) for crystalline AcBi2Pd3 at its relaxed geometry. Values from VASP.

Cell and atoms, written as Quantum ESPRESSO input:
```
&SYSTEM
  ibrav = 0, nat = 12, ntyp = 3
/
ATOMIC_SPECIES
Ac 227.00 Ac.upf
Bi 208.98 Bi.upf
Pd 106.42 Pd.upf
CELL_PARAMETERS angstrom
8.8235 -2.4683 0.0000
8.8235 2.4683 0.0000
-1.0426 0.0000 6.5465
ATOMIC_POSITIONS crystal
Ac 0.1206 0.1206 0.1587
Ac 0.8794 0.8794 0.8413
Bi 0.2280 0.2280 0.6900
Bi 0.4812 0.4812 0.2381
Bi 0.5188 0.5188 0.7619
Bi 0.7720 0.7720 0.3100
Pd 0.0681 0.0681 0.6513
Pd 0.2908 0.2908 0.1066
Pd 0.3680 0.3680 0.5155
Pd 0.6320 0.6320 0.4845
Pd 0.7092 0.7092 0.8934
Pd 0.9319 0.9319 0.3487
```

## Properties
Mass density, g/cm³: 11.2
Magnetization, μB/f.u.: 0.00
DFT formation energy, kJ per mole of atoms: -58.2

=====

Record 5
Density functional theory data (PBE-GGA) for crystalline RbAcSnBr6 at its relaxed geometry. Values from VASP.

Cell and atoms, written as Quantum ESPRESSO input:
```
&SYSTEM
  ibrav = 0, nat = 18, ntyp = 4
/
ATOMIC_SPECIES
Rb 85.47 Rb.upf
Ac 227.00 Ac.upf
Sn 118.71 Sn.upf
Br 79.90 Br.upf
CELL_PARAMETERS angstrom
-5.4408 5.5790 7.9488
5.4408 -5.5790 7.9488
5.4408 5.5790 -7.9488
ATOMIC_POSITIONS crystal
Rb 0.2656 0.0156 0.2500
Rb 0.7344 0.9844 0.7500
Ac 0.0000 0.5000 0.5000
Ac 0.5000 0.5000 0.0000
Sn 0.0000 0.0000 0.5000
Sn 0.0000 0.5000 0.0000
Br 0.0530 0.3990 0.2227
Br 0.0530 0.8303 0.6540
Br 0.0599 0.8099 0.2500
Br 0.3237 0.1697 0.7227
Br 0.3237 0.6010 0.1540
Br 0.3302 0.5802 0.7500
Br 0.6698 0.4198 0.2500
Br 0.6763 0.3990 0.8460
Br 0.6763 0.8303 0.2773
Br 0.9401 0.1901 0.7500
Br 0.9470 0.1697 0.3460
Br 0.9470 0.6010 0.7773
```

## Properties
Mass density, g/cm³: 3.1
Magnetization, μB/f.u.: 0.00
Formation energy (no corrections), eV per formula unit: -13.30

=====

Record 6
Density functional theory data (PBE-GGA) for crystalline ScZnPdPt at its relaxed geometry. Values from VASP.

Cell and atoms, written as Quantum ESPRESSO input:
```
&SYSTEM
  ibrav = 0, nat = 8, ntyp = 4
/
ATOMIC_SPECIES
Sc 44.96 Sc.upf
Zn 65.41 Zn.upf
Pd 106.42 Pd.upf
Pt 195.08 Pt.upf
CELL_PARAMETERS angstrom
4.1843 0.0000 0.0000
0.0000 4.1843 0.0000
0.0000 0.0000 7.3214
ATOMIC_POSITIONS crystal
Sc 0.0000 0.0000 0.0000
Sc 0.5000 0.5000 0.5000
Zn 0.0000 0.0000 0.5000
Zn 0.5000 0.5000 0.0000
Pd 0.0000 0.5000 0.7500
Pd 0.5000 0.0000 0.2500
Pt 0.0000 0.5000 0.2500
Pt 0.5000 0.0000 0.7500
```

## Properties
Mass density, g/cm³: 10.7
Magnetization, μB/f.u.: 0.00
DFT formation energy, kJ per mole of atoms: -86.4

=====

Which value of magnetization does entry 4 give? 0.00 μB/f.u.